Entry 1:
VASP calculation (PBE-GGA) on a geometry-optimized Gd2TmAl3AgPd2 structure.

Output
Crystal system   orthorhombic
Raw total energy   -88.98 eV/cell
M_tot   0.01 μB per formula unit

```
data_Gd2TmAl3AgPd2
_chemical_formula_sum 'Gd4 Tm2 Al6 Ag2 Pd4'
_space_group_name_H-M_alt 'A m m 2'
_space_group_IT_number 38
_cell_length_a 3.9086
_cell_length_b 12.7662
_cell_length_c 7.3947
_cell_angle_alpha 90.00
_cell_angle_beta 90.00
_cell_angle_gamma 90.00
loop_
_space_group_symop_operation_xyz
'x,y,z'
'-x,-y,z'
'-x,y,z'
'x,-y,z'
'x,y+1/2,z+1/2'
'-x,-y+1/2,z+1/2'
'-x,y+1/2,z+1/2'
'x,-y+1/2,z+1/2'
loop_
_atom_site_label
_atom_site_fract_x
_atom_site_fract_y
_atom_site_fract_z
_atom_site_occupancy
Gd1 0.0000 0.2076 0.0000 1
Tm1 0.0000 0.0000 0.6235 1
Al1 0.5000 0.0000 0.9527 1
Al2 0.5000 0.1262 0.3370 1
Ag1 0.0000 0.0000 0.2112 1
Pd1 0.5000 0.1637 0.7071 1
```

=====

Entry 2:
VASP calculation (PBE-GGA) on a geometry-optimized PrCdOs structure.

Output
ΔE_f   1021 meV/atom
Crystal system   cubic
M_tot   0.04 μB per formula unit

```
data_PrCdOs
_chemical_formula_sum 'Pr4 Cd4 Os4'
_space_group_name_H-M_alt 'F -4 3 m'
_space_group_IT_number 216
_space_group_name_Hall 'F -4 2 3'
_cell_length_a 6.8737
_cell_length_b 6.8737
_cell_length_c 6.8737
_cell_angle_alpha 90.00
_cell_angle_beta 90.00
_cell_angle_gamma 90.00
loop_
_atom_site_label
_atom_site_fract_x
_atom_site_fract_y
_atom_site_fract_z
_atom_site_occupancy
Pr1 0.0000 0.0000 0.0000 1
Cd1 0.2500 0.2500 0.7500 1
Os1 0.2500 0.2500 0.2500 1
```

=====

Entry 3:
VASP calculation (PBE-GGA) on a geometry-optimized Y2TmAl7Cu2 structure.

Output
Crystal system   trigonal
Raw total energy   -170.45 eV/cell
M_tot   0.01 μB per formula unit

```
data_Y2TmAl7Cu2
_chemical_formula_sum 'Y6 Tm3 Al21 Cu6'
_space_group_name_H-M_alt 'R -3 m'
_space_group_IT_number 166
_space_group_name_Hall '-R 3 2"'
_cell_length_a 5.4756
_cell_length_b 5.4756
_cell_length_c 25.3978
_cell_angle_alpha 90.00
_cell_angle_beta 90.00
_cell_angle_gamma 120.00
loop_
_atom_site_label
_atom_site_fract_x
_atom_site_fract_y
_atom_site_fract_z
_atom_site_occupancy
Y1 0.0000 0.0000 0.1417 1
Tm1 0.0000 0.0000 0.0000 1
Al1 0.0000 0.0000 0.5000 1
Al2 0.0058 0.5029 0.9216 1
Cu1 0.0000 0.0000 0.3352 1
```

=====

Entry 4:
VASP calculation (PBE-GGA) on a geometry-optimized Nb4SiPbC2 structure.

Output
Crystal system   hexagonal
Raw total energy   -71.06 eV/cell
M_tot   0.01 μB per formula unit

```
data_Nb4SiPbC2
_chemical_formula_sum 'Nb4 Si1 Pb1 C2'
_space_group_name_H-M_alt 'P -6 m 2'
_space_group_IT_number 187
_space_group_name_Hall 'P -6 2'
_cell_length_a 3.2713
_cell_length_b 3.2713
_cell_length_c 13.3184
_cell_angle_alpha 90.00
_cell_angle_beta 90.00
_cell_angle_gamma 120.00
loop_
_atom_site_label
_atom_site_fract_x
_atom_site_fract_y
_atom_site_fract_z
_atom_site_occupancy
Nb1 0.0000 0.0000 0.1412 1
Nb2 0.6667 0.3333 0.3164 1
Si1 0.6667 0.3333 0.0000 1
Pb1 0.0000 0.0000 0.5000 1
C1 0.3333 0.6667 0.2315 1
```

=====

Question: What is the formula in the third record?
Answer: Y2TmAl7Cu2

=====

Question: Which formula does entry 1 have?
Answer: Gd2TmAl3AgPd2

=====

Repeat the third record exactly.
VASP calculation (PBE-GGA) on a geometry-optimized Y2TmAl7Cu2 structure.

Output
Crystal system   trigonal
Raw total energy   -170.45 eV/cell
M_tot   0.01 μB per formula unit

```
data_Y2TmAl7Cu2
_chemical_formula_sum 'Y6 Tm3 Al21 Cu6'
_space_group_name_H-M_alt 'R -3 m'
_space_group_IT_number 166
_space_group_name_Hall '-R 3 2"'
_cell_length_a 5.4756
_cell_length_b 5.4756
_cell_length_c 25.3978
_cell_angle_alpha 90.00
_cell_angle_beta 90.00
_cell_angle_gamma 120.00
loop_
_atom_site_label
_atom_site_fract_x
_atom_site_fract_y
_atom_site_fract_z
_atom_site_occupancy
Y1 0.0000 0.0000 0.1417 1
Tm1 0.0000 0.0000 0.0000 1
Al1 0.0000 0.0000 0.5000 1
Al2 0.0058 0.5029 0.9216 1
Cu1 0.0000 0.0000 0.3352 1
```